(1)
# Nd4ZnSe3 | the Alexandria database | PBE | relaxed
# M_tot ... 0.00 μB per atom
# DOS(E_F) ... 0.394 states/eV per atom
# Calculated volume ... 216 Å³/f.u.
# Uncorrected energy ... -85.19 eV per cell
data_Nd4ZnSe3
_cell_length_a 6.010
_cell_length_b 6.010
_cell_length_c 11.987
_cell_angle_alpha 90.00
_cell_angle_beta 90.00
_cell_angle_gamma 90.00
_symmetry_space_group_name_H-M 'I 4/m m m'
_symmetry_Int_Tables_number 139
_symmetry_space_group_name_Hall '-I 4 2'
loop_
_atom_site_label
_atom_site_type_symbol
_atom_site_fract_x
_atom_site_fract_y
_atom_site_fract_z
Nd1 Nd 0.000 0.000 0.247
Nd2 Nd 0.000 0.500 0.000
Zn1 Zn 0.000 0.000 0.500
Se1 Se 0.000 0.000 0.000
Se2 Se 0.000 0.500 0.250

=====

(2)
# Nd2ZnSe | the Alexandria database | PBE | relaxed
# M_tot ... 0.00 μB per atom
# DOS(E_F) ... 0.719 states/eV per atom
# Calculated volume ... 107 Å³/f.u.
# Uncorrected energy ... -74.10 eV per cell
data_Nd2ZnSe
_cell_length_a 4.115
_cell_length_b 23.887
_cell_length_c 4.359
_cell_angle_alpha 90.00
_cell_angle_beta 90.00
_cell_angle_gamma 90.00
_symmetry_space_group_name_H-M 'C m c m'
_symmetry_Int_Tables_number 63
_symmetry_space_group_name_Hall '-C 2c 2'
loop_
_atom_site_label
_atom_site_type_symbol
_atom_site_fract_x
_atom_site_fract_y
_atom_site_fract_z
Nd1 Nd 0.000 0.069 0.250
Nd2 Nd 0.000 0.316 0.250
Zn1 Zn 0.000 0.462 0.250
Se1 Se 0.000 0.192 0.250

=====

(3)
# Nd6ZnSe5 | the Alexandria database | PBE | relaxed
# M_tot ... 0.00 μB per atom
# DOS(E_F) ... 0.412 states/eV per atom
# Calculated volume ... 325 Å³/f.u.
# Uncorrected energy ... -132.91 eV per cell
data_Nd6ZnSe5
_cell_length_a 7.377
_cell_length_b 12.731
_cell_length_c 7.330
_cell_angle_alpha 90.00
_cell_angle_beta 109.46
_cell_angle_gamma 90.00
_symmetry_space_group_name_H-M 'C 1 2/m 1'
_symmetry_Int_Tables_number 12
_symmetry_space_group_name_Hall '-C 2y'
loop_
_atom_site_label
_atom_site_type_symbol
_atom_site_fract_x
_atom_site_fract_y
_atom_site_fract_z
Nd1 Nd 0.248 0.000 0.252
Nd2 Nd 0.248 0.166 0.748
Zn1 Zn 0.000 0.000 0.500
Se1 Se 0.000 0.168 0.000
Se2 Se 0.000 0.334 0.500
Se3 Se 0.000 0.500 0.000

=====

(4)
# NdZnSe2 | the Alexandria database | PBE | relaxed
# M_tot ... 0.00 μB per atom
# DOS(E_F) ... 0.873 states/eV per atom
# Calculated volume ... 110 Å³/f.u.
# Uncorrected energy ... -44.15 eV per cell
data_NdZnSe2
_cell_length_a 3.8585
_cell_length_b 3.8585
_cell_length_c 25.6890
_cell_angle_alpha 90.00
_cell_angle_beta 90.00
_cell_angle_gamma 120.00
_symmetry_space_group_name_H-M 'R -3 m'
_symmetry_Int_Tables_number 166
_symmetry_space_group_name_Hall '-R 3 2"'
loop_
_atom_site_label
_atom_site_type_symbol
_atom_site_fract_x
_atom_site_fract_y
_atom_site_fract_z
Nd1 Nd 0.0000 0.0000 0.0000
Zn1 Zn 0.0000 0.0000 0.5000
Se1 Se 0.0000 0.0000 0.1105

=====

(5)
# NdZrSe2 | the Alexandria database | PBE | relaxed
# M_tot ... 0.00 μB per atom
# DOS(E_F) ... 0.910 states/eV per atom
# Calculated volume ... 113 Å³/f.u.
# Uncorrected energy ... -73.62 eV per cell
data_NdZrSe2
_cell_length_a 3.7823
_cell_length_b 3.7823
_cell_length_c 27.4451
_cell_angle_alpha 90.00
_cell_angle_beta 90.00
_cell_angle_gamma 120.00
_symmetry_space_group_name_H-M 'R -3 m'
_symmetry_Int_Tables_number 166
_symmetry_space_group_name_Hall '-R 3 2"'
loop_
_atom_site_label
_atom_site_type_symbol
_atom_site_fract_x
_atom_site_fract_y
_atom_site_fract_z
Nd1 Nd 0.0000 0.0000 0.0000
Zr1 Zr 0.0000 0.0000 0.5000
Se1 Se 0.0000 0.0000 0.1067

=====

(6)
# NdZr2Se4 | the Alexandria database | PBE | relaxed
# M_tot ... 0.00 μB per atom
# DOS(E_F) ... 0.688 states/eV per atom
# Calculated volume ... 169 Å³/f.u.
# Uncorrected energy ... -182.63 eV per cell
data_NdZr2Se4
_cell_length_a 3.853
_cell_length_b 12.619
_cell_length_c 13.876
_cell_angle_alpha 90.00
_cell_angle_beta 90.00
_cell_angle_gamma 90.00
_symmetry_space_group_name_H-M 'C m c m'
_symmetry_Int_Tables_number 63
_symmetry_space_group_name_Hall '-C 2c 2'
loop_
_atom_site_label
_atom_site_type_symbol
_atom_site_fract_x
_atom_site_fract_y
_atom_site_fract_z
Nd1 Nd 0.000 0.106 0.250
Zr1 Zr 0.000 0.352 0.059
Se1 Se 0.000 0.000 0.000
Se2 Se 0.000 0.283 0.624
Se3 Se 0.000 0.433 0.250

=====

(7)
# Nd2ZrSe5 | the Alexandria database | PBE | relaxed
# M_tot ... 0.00 μB per atom
# Calculated volume ... 269 Å³/f.u.
# Uncorrected energy ... -192.33 eV per cell
data_Nd2ZrSe5
_cell_length_a 5.585
_cell_length_b 14.174
_cell_length_c 13.587
_cell_angle_alpha 90.00
_cell_angle_beta 90.00
_cell_angle_gamma 90.00
_symmetry_space_group_name_H-M 'C m c m'
_symmetry_Int_Tables_number 63
_symmetry_space_group_name_Hall '-C 2c 2'
loop_
_atom_site_label
_atom_site_type_symbol
_atom_site_fract_x
_atom_site_fract_y
_atom_site_fract_z
Nd1 Nd 0.000 0.147 0.063
Zr1 Zr 0.000 0.189 0.750
Se1 Se 0.000 0.049 0.624
Se2 Se 0.000 0.271 0.250
Se3 Se 0.000 0.306 0.587

=====

(8)
# NdZrSe | the Alexandria database | PBE | relaxed
# M_tot ... 0.00 μB per atom
# DOS(E_F) ... 0.948 states/eV per atom
# Calculated volume ... 71 Å³/f.u.
# Uncorrected energy ... -39.60 eV per cell
data_NdZrSe
_cell_length_a 4.154
_cell_length_b 4.154
_cell_length_c 8.271
_cell_angle_alpha 90.00
_cell_angle_beta 90.00
_cell_angle_gamma 90.00
_symmetry_space_group_name_H-M 'P 4/n m m'
_symmetry_Int_Tables_number 129
loop_
_symmetry_equiv_pos_as_xyz
'x,y,z'
'-x,-y,-z'
'-y+1/2,x,z'
'y+1/2,-x,-z'
'-x+1/2,-y+1/2,z'
'x+1/2,y+1/2,-z'
'y,-x+1/2,z'
'-y,x+1/2,-z'
'x+1/2,-y,-z'
'-x+1/2,y,z'
'-y,-x,-z'
'y,x,z'
'-x,y+1/2,-z'
'x,-y+1/2,z'
'y+1/2,x+1/2,-z'
'-y+1/2,-x+1/2,z'
loop_
_atom_site_label
_atom_site_type_symbol
_atom_site_fract_x
_atom_site_fract_y
_atom_site_fract_z
Nd1 Nd 0.250 0.250 0.141
Zr1 Zr 0.250 0.750 0.500
Se1 Se 0.250 0.250 0.748

=====

(9)
# Nd2ZrSe5 | the Alexandria database | PBE | relaxed
# M_tot ... 0.00 μB per atom
# Calculated volume ... 199 Å³/f.u.
# Uncorrected energy ... -196.27 eV per cell
data_Nd2ZrSe5
_cell_length_a 12.280
_cell_length_b 8.340
_cell_length_c 7.763
_cell_angle_alpha 90.00
_cell_angle_beta 90.00
_cell_angle_gamma 90.00
_symmetry_space_group_name_H-M 'P n m a'
_symmetry_Int_Tables_number 62
_symmetry_space_group_name_Hall '-P 2ac 2n'
loop_
_atom_site_label
_atom_site_type_symbol
_atom_site_fract_x
_atom_site_fract_y
_atom_site_fract_z
Nd1 Nd 0.178 0.003 0.031
Zr1 Zr 0.008 0.750 0.579
Se1 Se 0.004 0.750 0.946
Se2 Se 0.088 0.038 0.664
Se3 Se 0.182 0.750 0.337
Se4 Se 0.207 0.250 0.318

=====

(10)
# NdZrSe2 | the Alexandria database | PBE | relaxed
# M_tot ... 0.00 μB per atom
# DOS(E_F) ... 0.754 states/eV per atom
# Calculated volume ... 95 Å³/f.u.
# Uncorrected energy ... -77.86 eV per cell
data_NdZrSe2
_cell_length_a 3.9365
_cell_length_b 3.9365
_cell_length_c 21.2000
_cell_angle_alpha 90.00
_cell_angle_beta 90.00
_cell_angle_gamma 120.00
_symmetry_space_group_name_H-M 'R 3 m'
_symmetry_Int_Tables_number 160
_symmetry_space_group_name_Hall 'R 3 -2"'
loop_
_atom_site_label
_atom_site_type_symbol
_atom_site_fract_x
_atom_site_fract_y
_atom_site_fract_z
Nd1 Nd 0.0000 0.0000 0.0000
Zr1 Zr 0.0000 0.0000 0.8261
Se1 Se 0.0000 0.0000 0.2380
Se2 Se 0.0000 0.0000 0.4209

=====

(11)
# NdZrSe3 | the Alexandria database | PBE | relaxed
# M_tot ... 0.00 μB per atom
# DOS(E_F) ... 0.595 states/eV per atom
# Calculated volume ... 123 Å³/f.u.
# Uncorrected energy ... -126.38 eV per cell
data_NdZrSe3
_cell_length_a 8.661
_cell_length_b 3.887
_cell_length_c 14.640
_cell_angle_alpha 90.00
_cell_angle_beta 90.00
_cell_angle_gamma 90.00
_symmetry_space_group_name_H-M 'P n m a'
_symmetry_Int_Tables_number 62
_symmetry_space_group_name_Hall '-P 2ac 2n'
loop_
_atom_site_label
_atom_site_type_symbol
_atom_site_fract_x
_atom_site_fract_y
_atom_site_fract_z
Nd1 Nd 0.137 0.250 0.194
Zr1 Zr 0.166 0.750 0.461
Se1 Se 0.011 0.750 0.619
Se2 Se 0.158 0.250 0.802
Se3 Se 0.158 0.750 0.040

=====

(12)
# Nd4Si3 | the Alexandria database | PBE | relaxed
# M_tot ... 0.00 μB per atom
# DOS(E_F) ... 0.107 states/eV per atom
# Calculated volume ... 189 Å³/f.u.
# Uncorrected energy ... -159.42 eV per cell
data_Nd4Si3
_cell_length_a 9.111
_cell_length_b 9.111
_cell_length_c 9.111
_cell_angle_alpha 90.00
_cell_angle_beta 90.00
_cell_angle_gamma 90.00
_symmetry_space_group_name_H-M 'I -4 3 d'
_symmetry_Int_Tables_number 220
_symmetry_space_group_name_Hall 'I -4bd 2c 3'
loop_
_atom_site_label
_atom_site_type_symbol
_atom_site_fract_x
_atom_site_fract_y
_atom_site_fract_z
Nd1 Nd 0.066 0.434 0.566
Si1 Si 0.000 0.250 0.875

=====

Per-record raw formation energy, eV/f.u.: -11.80 -4.23 -19.15 -1.70 -4.25 -9.85 -12.57 -3.00 -13.56 -5.67 -7.82 -4.51